Record 1
## Ga2NiOsC (GGA-PBE)

Data for a relaxed structure of Ga2NiOsC.

Summary:
**E_form**: 925 meV/atom
**Symmetry**: P4/mmm, No. 123

a = 4.830 Å, b = 3.852 Å, c = 4.830 Å
α = 90.00°, β = 90.00°, γ = 90.00°
Fractional positions:
Ni  0.500  0.500  0.500
C  0.000  0.500  0.000
Os  0.000  0.000  0.000
Ga  0.000  0.000  0.500
Ga  0.500  0.000  0.000



Record 2
## TiGeSeN2 (GGA-PBE)

Data for a relaxed structure of TiGeSeN2.

Summary:
**Formation energy without anion corrections**: 0.253 eV per atom
**Symmetry**: P4/mmm, No. 123
**Offset from the most stable computed form**: 0 meV per atom

a = 3.903 Å, b = 3.903 Å, c = 5.383 Å
α = 90.00°, β = 90.00°, γ = 90.00°
Fractional positions:
Ge  0.500  0.500  0.500
N  0.000  0.500  0.000
N  0.500  0.000  0.000
Se  0.000  0.000  0.500
Ti  0.000  0.000  0.000



Record 3
## Ta2AlIr2 (GGA-PBE)

Data for a relaxed structure of Ta2AlIr2.

Summary:
**E_form**: -465 meV/atom
**Symmetry**: P4/mbm, No. 127

a = 7.606 Å, b = 7.606 Å, c = 2.959 Å
α = 90.00°, β = 90.00°, γ = 90.00°
Fractional positions:
Ir  0.369  0.869  0.000
Ir  0.869  0.631  0.000
Ir  0.631  0.131  0.000
Ir  0.131  0.369  0.000
Al  0.000  0.000  0.000
Al  0.500  0.500  0.000
Ta  0.165  0.665  0.500
Ta  0.665  0.835  0.500
Ta  0.835  0.335  0.500
Ta  0.335  0.165  0.500